AgGePtO6 after structural relaxation. Source: Alexandria via LeMat-Bulk, functional GGA-PBE.

Values from the calculation:
E_tot = -5.410 eV/atom

Unit cell a=5.152 b=5.152 c=9.208 alpha=90.00 beta=90.00 gamma=120.00
Positions (direct):
O 0.628 0.992 0.866
O 0.365 0.992 0.634
O 0.635 0.008 0.366
O 0.992 0.365 0.134
O 0.372 0.365 0.366
O 0.008 0.372 0.634
O 0.635 0.628 0.134
O 0.365 0.372 0.866
O 0.992 0.628 0.366
O 0.628 0.635 0.634
O 0.372 0.008 0.134
O 0.008 0.635 0.866
Ge 0.333 0.667 0.750
Ge 0.667 0.333 0.250
Ag 0.000 0.000 0.500
Ag 0.000 0.000 0.000
Pt 0.667 0.333 0.750
Pt 0.333 0.667 0.250

---

Nb2RuAuC after structural relaxation. Source: Alexandria via LeMat-Bulk, functional GGA-PBE.

Values from the calculation:
ΔE_f = 2.971 eV/atom

Unit cell a=4.914 b=4.829 c=4.914 alpha=90.00 beta=90.00 gamma=90.00
Positions (direct):
Nb 0.000 0.000 0.500
Nb 0.500 0.000 0.000
Au 0.000 0.000 0.000
Ru 0.000 0.500 0.000
C 0.500 0.500 0.500

---

Tb4Nd3Er4 after structural relaxation. Source: Alexandria via LeMat-Bulk, functional GGA-PBE.

Values from the calculation:
Distance to the lowest polymorph of the same formula = 140 meV per atom
ΔE_f = 0.157 eV/atom

Unit cell a=5.701 b=6.653 c=10.622 alpha=90.00 beta=90.00 gamma=115.37
Positions (direct):
Nd 0.408 0.817 0.291
Nd 0.408 0.817 0.709
Nd 0.255 0.509 0.000
Er 0.615 0.230 0.500
Er 0.103 0.207 0.703
Er 0.103 0.207 0.297
Er 0.556 0.113 0.000
Tb 0.958 0.916 0.000
Tb 0.888 0.776 0.500
Tb 0.752 0.503 0.214
Tb 0.752 0.503 0.786

---

NaTbHo2Se4 after structural relaxation. Source: Alexandria via LeMat-Bulk, functional GGA-PBE.

Values from the calculation:
E_tot = -5.357 eV/atom

Unit cell a=4.062 b=7.116 c=7.113 alpha=71.05 beta=90.00 gamma=90.00
Positions (direct):
Se 0.000 0.247 0.252
Se 0.000 0.753 0.748
Se 0.500 0.756 0.246
Se 0.500 0.244 0.754
Tb 0.500 0.500 0.000
Ho 0.000 0.000 0.000
Ho 0.500 0.000 0.500
Na 0.000 0.500 0.500

---

Tb4InPd after structural relaxation. Source: Alexandria via LeMat-Bulk, functional GGA-PBE.

Values from the calculation:
Distance to the lowest polymorph of the same formula = 0 meV per atom
ΔE_f = -0.508 eV/atom

Unit cell a=9.769 b=9.769 c=9.769 alpha=60.00 beta=60.00 gamma=60.00
Positions (direct):
In 0.167 0.499 0.167
In 0.499 0.167 0.167
In 0.167 0.167 0.499
In 0.167 0.167 0.167
Pd 0.606 0.606 0.606
Pd 0.606 0.183 0.606
Pd 0.606 0.606 0.183
Pd 0.183 0.606 0.606
Tb 0.560 0.940 0.560
Tb 0.397 0.397 0.397
Tb 0.808 0.397 0.397
Tb 0.186 0.186 0.814
Tb 0.814 0.814 0.186
Tb 0.397 0.808 0.397
Tb 0.940 0.560 0.560
Tb 0.814 0.186 0.186
Tb 0.814 0.186 0.814
Tb 0.940 0.940 0.560
Tb 0.186 0.814 0.814
Tb 0.397 0.397 0.808
Tb 0.560 0.940 0.940
Tb 0.560 0.560 0.940
Tb 0.186 0.814 0.186
Tb 0.940 0.560 0.940

---

TmBe2Pt3 after structural relaxation. Source: Alexandria via LeMat-Bulk, functional GGA-PBE.

Values from the calculation:
ΔE_f = -0.793 eV/atom

Unit cell a=3.875 b=9.041 c=9.041 alpha=120.00 beta=90.00 gamma=90.00
Positions (direct):
Pt 0.500 0.500 0.500
Pt 0.500 0.000 0.500
Pt 0.500 0.500 0.000
Pt 0.000 0.708 0.000
Pt 0.000 0.292 0.292
Pt 0.000 0.708 0.708
Pt 0.000 0.292 0.000
Pt 0.000 0.000 0.708
Pt 0.000 0.000 0.292
Be 0.500 0.182 0.365
Be 0.500 0.818 0.635
Be 0.500 0.365 0.182
Be 0.500 0.635 0.818
Be 0.500 0.818 0.182
Be 0.500 0.182 0.818
Tm 0.500 0.000 0.000
Tm 0.000 0.333 0.667
Tm 0.000 0.667 0.333

---

TmLu2Sc after structural relaxation. Source: Alexandria via LeMat-Bulk, functional GGA-PBE.

Values from the calculation:
Distance to the lowest polymorph of the same formula = 0 meV per atom
ΔE_f = 0.046 eV/atom

Unit cell a=3.430 b=3.430 c=9.602 alpha=90.00 beta=90.00 gamma=90.00
Positions (direct):
Sc 0.500 0.500 0.000
Lu 0.000 0.000 0.758
Lu 0.000 0.000 0.242
Tm 0.500 0.500 0.500

---

ZnH3N after structural relaxation. Source: Alexandria via LeMat-Bulk, functional GGA-PBE.

Values from the calculation:
Distance to the lowest polymorph of the same formula = 1169 meV per atom

Unit cell a=3.213 b=3.213 c=3.213 alpha=90.00 beta=90.00 gamma=90.00
Positions (direct):
H 0.000 0.000 0.500
H 0.500 0.000 0.000
H 0.000 0.500 0.000
Zn 0.500 0.500 0.500
N 0.000 0.000 0.000

---

CdAgW2 after structural relaxation. Source: Alexandria via LeMat-Bulk, functional GGA-PBE.

Values from the calculation:
ΔE_f = 0.619 eV/atom

Unit cell a=5.324 b=5.324 c=4.680 alpha=79.13 beta=79.13 gamma=32.18
Positions (direct):
Cd 0.250 0.250 0.250
W 0.003 0.003 0.997
W 0.497 0.497 0.503
Ag 0.750 0.750 0.750

---

Ca2EuIn after structural relaxation. Source: Alexandria via LeMat-Bulk, functional GGA-PBE.

Values from the calculation:
Distance to the lowest polymorph of the same formula = 316 meV per atom
ΔE_f = 0.101 eV/atom

Unit cell a=3.752 b=3.752 c=13.118 alpha=81.78 beta=81.78 gamma=60.00
Positions (direct):
Ca 0.916 0.916 0.251
Ca 0.084 0.084 0.749
In 0.000 0.000 0.000
Eu 0.500 0.500 0.500

---

ZnFePCl2 after structural relaxation. Source: Alexandria via LeMat-Bulk, functional GGA-PBE.

Values from the calculation:
Distance to the lowest polymorph of the same formula = 384 meV per atom

Unit cell a=4.663 b=4.663 c=5.054 alpha=90.00 beta=90.00 gamma=90.00
Positions (direct):
Cl 0.000 0.500 0.000
Cl 0.500 0.000 0.000
Zn 0.000 0.000 0.000
Fe 0.500 0.500 0.500
P 0.000 0.000 0.500

---

MoRh2Br after structural relaxation. Source: Alexandria via LeMat-Bulk, functional GGA-PBE.

Values from the calculation:
Distance to the lowest polymorph of the same formula = 521 meV per atom

Unit cell a=4.758 b=4.758 c=2.857 alpha=90.00 beta=90.00 gamma=90.00
Positions (direct):
Rh 0.000 0.000 0.000
Rh 0.500 0.500 0.000
Mo 0.000 0.500 0.500
Br 0.500 0.000 0.500